DFT (PBE) results for a relaxed TmS2 crystal.

a = 6.303 Å, b = 6.303 Å, c = 3.998 Å
α = 90.00°, β = 90.00°, γ = 90.00°
Sites, in units of the cell vectors:
Tm: 0.000 0.000 0.000
Tm: 0.500 0.500 0.500
S: 0.201 0.201 0.500
S: 0.299 0.701 0.000
S: 0.701 0.299 0.000
S: 0.799 0.799 0.500

Total energy, eV/atom: -5.5577
Symmetry: No. 136

DFT (PBE) results for a relaxed SmGeTe2AuSe crystal.

a = 7.577 Å, b = 7.577 Å, c = 10.585 Å
α = 90.00°, β = 90.00°, γ = 148.01°
Sites, in units of the cell vectors:
Sm: 0.000 0.000 0.000
Sm: 0.000 0.000 0.500
Ge: 0.237 0.763 0.750
Ge: 0.763 0.237 0.250
Te: 0.341 0.659 0.066
Te: 0.341 0.659 0.434
Te: 0.659 0.341 0.566
Te: 0.659 0.341 0.934
Au: 0.479 0.521 0.250
Au: 0.521 0.479 0.750
Se: 0.095 0.905 0.250
Se: 0.905 0.095 0.750

Total energy, eV/atom: -4.3263
Symmetry: No. 63

DFT (PBE) results for a relaxed ScNb2Pt crystal.

a = 4.631 Å, b = 4.631 Å, c = 4.631 Å
α = 60.00°, β = 60.00°, γ = 60.00°
Sites, in units of the cell vectors:
Sc: 0.000 0.000 0.000
Nb: 0.500 0.500 0.500
Nb: 0.750 0.750 0.750
Pt: 0.250 0.250 0.250

Total energy, eV/atom: -8.4981
Symmetry: No. 216
Formation energy from the elements, eV/atom: -0.36

DFT (PBE) results for a relaxed AlGaAg2S4 crystal.

a = 6.664 Å, b = 6.664 Å, c = 6.664 Å
α = 128.80°, β = 128.80°, γ = 75.34°
Sites, in units of the cell vectors:
Al: 0.000 0.000 0.000
Ga: 0.250 0.750 0.500
Ag: 0.500 0.500 0.000
Ag: 0.750 0.250 0.500
S: 0.124 0.667 0.038
S: 0.333 0.372 0.458
S: 0.628 0.086 0.962
S: 0.914 0.876 0.542

Total energy, eV/atom: -4.2539
Symmetry: No. 82

DFT (PBE) results for a relaxed YTcTe2 crystal.

a = 5.094 Å, b = 5.094 Å, c = 5.094 Å
α = 60.00°, β = 60.00°, γ = 60.00°
Sites, in units of the cell vectors:
Y: 0.000 0.000 0.000
Tc: 0.750 0.750 0.750
Te: 0.250 0.250 0.250
Te: 0.500 0.500 0.500

Total energy, eV/atom: -5.5585
Symmetry: No. 216

DFT (PBE) results for a relaxed Er2Tl2SnS6 crystal.

a = 6.737 Å, b = 6.737 Å, c = 7.688 Å
α = 90.00°, β = 90.00°, γ = 120.00°
Sites, in units of the cell vectors:
Er: 0.333 0.667 0.011
Er: 0.667 0.333 0.989
Tl: 0.333 0.667 0.517
Tl: 0.667 0.333 0.483
Sn: 0.000 0.000 0.000
S: 0.007 0.683 0.808
S: 0.317 0.323 0.808
S: 0.323 0.007 0.192
S: 0.677 0.993 0.808
S: 0.683 0.677 0.192
S: 0.993 0.317 0.192

Total energy, eV/atom: -5.0141
Symmetry: No. 147

DFT (PBE) results for a relaxed Zr2Zn crystal.

a = 4.818 Å, b = 9.201 Å, c = 5.530 Å
α = 90.00°, β = 90.00°, γ = 90.00°
Sites, in units of the cell vectors:
Zr: 0.250 0.064 0.120
Zr: 0.250 0.250 0.604
Zr: 0.250 0.436 0.120
Zr: 0.250 0.750 0.015
Zr: 0.750 0.250 0.985
Zr: 0.750 0.564 0.880
Zr: 0.750 0.750 0.396
Zr: 0.750 0.936 0.880
Zn: 0.250 0.584 0.569
Zn: 0.250 0.916 0.569
Zn: 0.750 0.084 0.431
Zn: 0.750 0.416 0.431

Total energy, eV/atom: -6.1616
Symmetry: No. 59
Formation energy from the elements, eV/atom: -0.04

DFT (PBE) results for a relaxed BeInBiOs crystal.

a = 4.716 Å, b = 4.716 Å, c = 4.716 Å
α = 60.00°, β = 60.00°, γ = 60.00°
Sites, in units of the cell vectors:
Be: 0.000 0.000 0.000
In: 0.750 0.750 0.750
Bi: 0.250 0.250 0.250
Os: 0.500 0.500 0.500

Total energy, eV/atom: -4.6059
Symmetry: No. 216

DFT (PBE) results for a relaxed Fe6CoGe crystal.

a = 4.012 Å, b = 4.012 Å, c = 5.821 Å
α = 90.00°, β = 90.00°, γ = 90.00°
Sites, in units of the cell vectors:
Fe: 0.000 0.000 0.000
Fe: 0.000 0.500 0.242
Fe: 0.000 0.500 0.758
Fe: 0.500 0.000 0.242
Fe: 0.500 0.000 0.758
Fe: 0.500 0.500 0.500
Co: 0.500 0.500 0.000
Ge: 0.000 0.000 0.500

Total energy, eV/atom: -7.7640
Symmetry: No. 123

DFT (PBE) results for a relaxed AlInFe2 crystal.

a = 6.009 Å, b = 6.009 Å, c = 6.009 Å
α = 90.00°, β = 90.00°, γ = 90.00°
Sites, in units of the cell vectors:
Al: 0.000 0.000 0.000
Al: 0.000 0.000 0.500
Al: 0.000 0.500 0.000
Al: 0.500 0.000 0.000
In: 0.000 0.500 0.500
In: 0.500 0.000 0.500
In: 0.500 0.500 0.000
In: 0.500 0.500 0.500
Fe: 0.234 0.234 0.234
Fe: 0.234 0.234 0.766
Fe: 0.234 0.766 0.234
Fe: 0.234 0.766 0.766
Fe: 0.766 0.234 0.234
Fe: 0.766 0.234 0.766
Fe: 0.766 0.766 0.234
Fe: 0.766 0.766 0.766

Total energy, eV/atom: -5.6882
Symmetry: No. 221

DFT (PBE) results for a relaxed PrNd3Sc2Te2Pd crystal.

a = 3.909 Å, b = 8.598 Å, c = 8.598 Å
α = 120.60°, β = 90.00°, γ = 90.00°
Sites, in units of the cell vectors:
Pr: 0.000 0.000 0.000
Nd: 0.500 0.333 0.333
Nd: 0.500 0.585 0.839
Nd: 0.500 0.839 0.585
Sc: 0.000 0.181 0.586
Sc: 0.000 0.586 0.181
Te: 0.500 0.262 0.916
Te: 0.500 0.916 0.262
Pd: 0.000 0.583 0.583

Total energy, eV/atom: -5.4916
Symmetry: No. 38

DFT (PBE) results for a relaxed NiC crystal.

a = 2.884 Å, b = 2.884 Å, c = 2.884 Å
α = 60.00°, β = 60.00°, γ = 60.00°
Sites, in units of the cell vectors:
Ni: 0.000 0.000 0.000
C: 0.500 0.500 0.500

Total energy, eV/atom: -6.2851
Symmetry: No. 225

DFT (PBE) results for a relaxed Pr2GdSn3Pd3 crystal.

a = 4.126 Å, b = 7.636 Å, c = 7.636 Å
α = 119.92°, β = 90.00°, γ = 90.00°
Sites, in units of the cell vectors:
Pr: 0.000 0.206 0.794
Pr: 0.000 0.794 0.206
Gd: 0.000 0.384 0.384
Sn: 0.500 0.047 0.047
Sn: 0.500 0.540 0.791
Sn: 0.500 0.791 0.540
Pd: 0.000 0.789 0.789
Pd: 0.500 0.132 0.458
Pd: 0.500 0.458 0.132

Total energy, eV/atom: -5.5546
Symmetry: No. 38

DFT (PBE) results for a relaxed PaBePt crystal.

a = 4.291 Å, b = 4.291 Å, c = 4.291 Å
α = 60.00°, β = 60.00°, γ = 60.00°
Sites, in units of the cell vectors:
Pa: 0.000 0.000 0.000
Be: 0.250 0.250 0.250
Pt: 0.500 0.500 0.500

Total energy, eV/atom: -6.6581
Symmetry: No. 216

DFT (PBE) results for a relaxed TbTlCdS3 crystal.

a = 8.756 Å, b = 8.756 Å, c = 9.079 Å
α = 103.33°, β = 103.33°, γ = 26.82°
Sites, in units of the cell vectors:
Tb: 0.172 0.172 0.091
Tb: 0.828 0.828 0.909
Tl: 0.141 0.141 0.562
Tl: 0.859 0.859 0.438
Cd: 0.498 0.498 0.785
Cd: 0.502 0.502 0.215
S: 0.000 0.000 0.000
S: 0.335 0.335 0.124
S: 0.339 0.339 0.716
S: 0.500 0.500 0.500
S: 0.661 0.661 0.284
S: 0.665 0.665 0.876

Total energy, eV/atom: -4.4863
Symmetry: No. 12

DFT (PBE) results for a relaxed LiLaFeTe crystal.

a = 5.117 Å, b = 5.117 Å, c = 5.117 Å
α = 60.00°, β = 60.00°, γ = 60.00°
Sites, in units of the cell vectors:
Li: 0.000 0.000 0.000
La: 0.500 0.500 0.500
Fe: 0.250 0.250 0.250
Te: 0.750 0.750 0.750

Total energy, eV/atom: -4.7048
Symmetry: No. 216

DFT (PBE) results for a relaxed Ba2Cd3P2O2 crystal.

a = 10.291 Å, b = 10.291 Å, c = 10.291 Å
α = 155.18°, β = 155.18°, γ = 35.39°
Sites, in units of the cell vectors:
Ba: 0.089 0.089 0.000
Ba: 0.911 0.911 0.000
Cd: 0.250 0.750 0.500
Cd: 0.500 0.500 0.000
Cd: 0.750 0.250 0.500
P: 0.331 0.331 0.000
P: 0.669 0.669 0.000
O: 0.000 0.500 0.500
O: 0.500 0.000 0.500

Total energy, eV/atom: -4.1592
Symmetry: No. 139

DFT (PBE) results for a relaxed CsNdTh crystal.

a = 5.575 Å, b = 5.575 Å, c = 5.575 Å
α = 60.00°, β = 60.00°, γ = 60.00°
Sites, in units of the cell vectors:
Cs: 0.000 0.000 0.000
Nd: 0.250 0.250 0.250
Th: 0.750 0.750 0.750

Total energy, eV/atom: -2.9200
Symmetry: No. 216

DFT (PBE) results for a relaxed KTa2 crystal.

a = 7.467 Å, b = 7.467 Å, c = 7.467 Å
α = 60.00°, β = 60.00°, γ = 60.00°
Sites, in units of the cell vectors:
K: 0.125 0.125 0.125
K: 0.875 0.875 0.875
Ta: 0.000 0.000 0.000
Ta: 0.000 0.000 0.500
Ta: 0.000 0.500 0.000
Ta: 0.500 0.000 0.000

Total energy, eV/atom: -2.4074
Symmetry: No. 227

DFT (PBE) results for a relaxed BaAg2Bi2 crystal.

a = 7.290 Å, b = 7.290 Å, c = 7.290 Å
α = 141.41°, β = 141.41°, γ = 55.72°
Sites, in units of the cell vectors:
Ba: 0.000 0.000 0.000
Ag: 0.250 0.750 0.500
Ag: 0.750 0.250 0.500
Bi: 0.379 0.379 0.000
Bi: 0.621 0.621 0.000

Total energy, eV/atom: -3.4984
Symmetry: No. 139